PBE-GGA NbI, relaxed; electronic total energy = -172.2 eV for the cell shown; formation energy without anion corrections = 0.428 eV per atom; space-group type = Fddd (70)
1.0
9.3946 0.0000 0.0000
0.0000 11.2486 0.0000
0.0000 0.0000 8.7996
Nb I
16 16
Cartesian
0.0000 10.0212 4.3998
4.6973 6.8517 4.3998
0.0000 6.8517 0.0000
0.0000 1.2274 4.3998
2.3486 7.2091 6.5997
4.6973 4.3969 4.3998
4.6973 10.0212 0.0000
7.0459 9.6638 2.1999
7.0459 7.2091 2.1999
2.3486 9.6638 6.5997
2.3486 1.5848 2.1999
2.3486 4.0395 2.1999
7.0459 1.5848 6.5997
0.0000 4.3969 0.0000
7.0459 4.0395 6.5997
4.6973 1.2274 0.0000
7.0459 8.4364 8.4169
7.0459 8.4364 4.7824
4.6973 5.6243 6.9823
0.0000 5.6243 6.2170
4.6973 0.0000 6.2170
4.6973 0.0000 2.5825
2.3486 8.4364 4.0171
2.3486 8.4364 0.3826
2.3486 2.8121 4.7824
0.0000 0.0000 1.8173
4.6973 5.6243 1.8173
2.3486 2.8121 8.4169
0.0000 5.6243 2.5825
0.0000 0.0000 6.9823
7.0459 2.8121 0.3826
7.0459 2.8121 4.0171